1.
CdBi after structural relaxation, computed with GGA-PBE.

a b c (Å): 3.4977 3.8711 4.7950
angles (deg): 77.00 72.24 71.08
Fractional coordinates of all 2 atoms:
Cd1 0.5000 0.5000 0.5000
Bi1 0.0000 0.0000 0.0000


2.
Dy2Mg2Cd after structural relaxation, computed with GGA-PBE.

a b c (Å): 5.2158 6.1973 9.5738
angles (deg): 98.49 74.19 65.11
Fractional coordinates of all 10 atoms:
Mg1 0.9312 0.7117 0.4258
Cd1 0.4550 0.8020 0.2880
Dy1 0.1036 0.7342 0.0586
Mg2 0.6680 0.8070 0.8569
Dy2 0.6928 0.2690 0.3455
Dy3 0.3072 0.7310 0.6545
Mg3 0.0688 0.2883 0.5742
Dy4 0.8964 0.2658 0.9414
Cd2 0.5450 0.1980 0.7120
Mg4 0.3320 0.1930 0.1431

Values from the calculation:
distance to the lowest polymorph of the same formula: 0.0 meV per atom


3.
SrTiZn2 after structural relaxation, computed with GGA-PBE.

a b c (Å): 4.9034 4.9034 9.9708
angles (deg): 75.77 75.77 90.00
Fractional coordinates of all 8 atoms:
Ti1 0.5000 0.5000 0.0000
Zn1 0.3003 0.6250 0.2500
Zn2 0.8750 0.6997 0.7500
Sr1 0.0000 0.0000 0.0000
Zn3 0.4497 0.1250 0.2500
Zn4 0.3750 0.5503 0.7500
Ti2 0.2500 0.7500 0.5000
Sr2 0.7500 0.2500 0.5000


no.,M_tot (μB/f.u.),N(E_F) (states/eV/f.u.),formation energy from the elements (eV per atom)
1,0.0,0.8,0.0738
2,0.0,4.6,-0.1125
3,2.6,3.8,0.4128